DFT (PBE) results for a relaxed structure of ErScO3.

Cell: 5.6935 7.8160 5.3760 Å, 90.00 90.00 90.00°
Positions (direct):
Er 0.5656 0.7500 0.0193
Er 0.0656 0.7500 0.4807
Er 0.4344 0.2500 0.9807
Er 0.9344 0.2500 0.5193
O 0.1902 0.4315 0.6859
O 0.0599 0.2500 0.1347
O 0.9401 0.7500 0.8653
O 0.6902 0.4315 0.8141
O 0.8098 0.5685 0.3141
O 0.3098 0.5685 0.1859
O 0.6902 0.0685 0.8141
O 0.5599 0.2500 0.3653
O 0.3098 0.9315 0.1859
O 0.1902 0.0685 0.6859
O 0.8098 0.9315 0.3141
O 0.4401 0.7500 0.6347
Sc 0.5000 0.5000 0.5000
Sc 0.0000 0.5000 0.0000
Sc 0.0000 0.0000 0.0000
Sc 0.5000 0.0000 0.5000

Results
Symmetry: Pnma (62)
Total DFT energy (no corrections) (eV per atom): -8.70
M_tot (μB per cell): 0.00

---

DFT (PBE) results for a relaxed structure of Er2Sc2O5.

Cell: 9.1447 3.7813 3.7813 Å, 90.00 90.00 90.00°
Each line ends with the local moment (μB).
Positions (direct):
O 0.8608 0.0000 0.5000  0.02
O 0.5000 0.5000 0.5000  0.00
O 0.1392 0.5000 0.0000  0.01
O 0.1392 0.0000 0.5000  0.02
O 0.8608 0.5000 0.0000  0.01
Er 0.7582 0.5000 0.5000  0.08
Er 0.2418 0.5000 0.5000  0.08
Sc 0.0000 0.0000 0.0000  0.01
Sc 0.5000 0.0000 0.0000  1.00

Results
Symmetry: P4/mmm (123)
Total DFT energy (no corrections) (eV per atom): -7.94
M_tot (μB per cell): 1.86

---

DFT (PBE) results for a relaxed structure of ErSc2O4.

Cell: 6.3927 6.3927 6.3927 Å, 119.99 90.01 119.99°
Each line ends with the local moment (μB).
Positions (direct):
O 0.6140 0.2281 0.3859  0.00
O 0.5922 0.7281 0.8641  0.00
O 0.6141 0.7719 0.3860  0.00
O 0.1578 0.7719 0.3859  0.00
O 0.1359 0.7281 0.8640  0.00
O 0.6141 0.2281 0.8422  0.00
O 0.1360 0.2719 0.8641  0.00
O 0.1359 0.2719 0.4078  0.00
Er 0.7500 0.5000 0.2500  0.02
Er 0.0000 0.0000 0.0000  0.02
Sc 0.3750 0.7500 0.1250  0.06
Sc 0.8750 0.2500 0.6250  0.04
Sc 0.3750 0.2500 0.6250  0.04
Sc 0.3750 0.7500 0.6250  0.06

Results
Symmetry: Fd-3m (227)
Total DFT energy (no corrections) (eV per atom): -8.59
M_tot (μB per cell): 0.34

---

DFT (PBE) results for a relaxed structure of Er2SeO2.

Cell: 3.7828 3.7828 6.7349 Å, 90.00 90.00 120.00°
Positions (direct):
Se 0.0000 0.0000 0.0000
O 0.6667 0.3333 0.3739
O 0.3333 0.6667 0.6261
Er 0.3333 0.6667 0.2908
Er 0.6667 0.3333 0.7092

Results
Symmetry: P-3m1 (164)
Total DFT energy (no corrections) (eV per atom): -7.64
M_tot (μB per cell): 0.00

---

DFT (PBE) results for a relaxed structure of ErSe2O8.

Cell: 6.4280 6.4280 6.4280 Å, 60.00 60.00 60.00°
Each line ends with the local moment (μB).
Positions (direct):
O 0.4359 0.8547 0.8547  0.08
O 0.8547 0.8547 0.4359  0.13
O 0.8547 0.8547 0.8547  0.12
O 0.1453 0.1453 0.5641  0.13
O 0.8547 0.4359 0.8547  0.12
O 0.1453 0.1453 0.1453  0.12
O 0.1453 0.5641 0.1453  0.12
O 0.5641 0.1453 0.1453  0.08
Er 0.0000 0.0000 0.0000  -0.02
Se 0.7500 0.7500 0.7500  -0.02
Se 0.2500 0.2500 0.2500  -0.02

Results
Symmetry: Fm-3m (225)
Total DFT energy (no corrections) (eV per atom): -5.80
M_tot (μB per cell): 1.00

---

DFT (PBE) results for a relaxed structure of Er3Se2O.

Cell: 3.7095 3.7095 9.9300 Å, 90.00 90.00 120.00°
Positions (direct):
Er 0.6667 0.3333 0.3755
Er 0.3333 0.6667 0.6245
Er 0.0000 0.0000 0.0000
Se 0.6667 0.3333 0.8124
Se 0.3333 0.6667 0.1876
O 0.0000 0.0000 0.5000

Results
Symmetry: P-3m1 (164)
Total DFT energy (no corrections) (eV per atom): -6.23
M_tot (μB per cell): 0.01

---

DFT (PBE) results for a relaxed structure of ErTmSeO2.

Cell: 3.7685 3.7685 6.6894 Å, 90.00 90.00 120.00°
Positions (direct):
Se 0.0000 0.0000 0.0012
Tm 0.6667 0.3333 0.2912
Er 0.3333 0.6667 0.7096
O 0.6667 0.3333 0.6254
O 0.3333 0.6667 0.3726

Results
Symmetry: P3m1 (156)
Total DFT energy (no corrections) (eV per atom): -7.63
M_tot (μB per cell): 0.00

---

DFT (PBE) results for a relaxed structure of YErSeO2.

Cell: 3.8057 3.8057 6.7428 Å, 90.00 90.00 120.00°
Positions (direct):
Y 0.6667 0.3333 0.7112
Se 0.3333 0.6667 0.0023
Er 0.0000 0.0000 0.2914
O 0.6667 0.3333 0.3709
O 0.0000 0.0000 0.6242

Results
Symmetry: P3m1 (156)
Total DFT energy (no corrections) (eV per atom): -7.99
M_tot (μB per cell): 0.00

---

DFT (PBE) results for a relaxed structure of Er2Si2O5.

Cell: 9.3219 3.4775 3.4775 Å, 90.00 90.00 90.00°
Positions (direct):
O 0.5000 0.5000 0.5000
O 0.1214 0.0000 0.5000
O 0.8786 0.5000 0.0000
O 0.1214 0.5000 0.0000
O 0.8786 0.0000 0.5000
Si 0.5000 0.0000 0.0000
Si 0.0000 0.0000 0.0000
Er 0.2556 0.5000 0.5000
Er 0.7444 0.5000 0.5000

Results
Symmetry: P4/mmm (123)
Excess energy over the best structure of this formula in the dataset (meV per atom): 205.9
M_tot (μB per cell): 0.00

---

DFT (PBE) results for a relaxed structure of Er2Si2O7.

Cell: 6.5606 6.5960 11.9455 Å, 94.32 91.07 91.87°
Positions (direct):
Si 0.4862 0.6653 0.8272
Si 0.6209 0.2736 0.4037
Si 0.5138 0.3347 0.1728
Si 0.8564 0.3760 0.6201
Si 0.1436 0.6240 0.3799
Si 0.8426 0.8513 0.1158
Si 0.3791 0.7264 0.5963
Si 0.1574 0.1487 0.8842
O 0.5891 0.8306 0.5536
O 0.7738 0.0926 0.3758
O 0.6017 0.4355 0.3040
O 0.3544 0.4897 0.1229
O 0.3852 0.1364 0.2127
O 0.9997 0.3347 0.9180
O 0.2961 0.7071 0.9092
O 0.2896 0.5718 0.4894
O 0.7104 0.4282 0.5106
O 0.2877 0.7824 0.3116
O 0.3519 0.2116 0.8125
O 0.7039 0.2929 0.0908
O 0.7123 0.2176 0.6884
O 0.2376 0.0876 0.0060
O 0.0003 0.6654 0.0820
O 0.6481 0.7884 0.1875
O 0.2262 0.9074 0.6242
O 0.9997 0.0163 0.1846
O 0.7624 0.9124 0.9940
O 0.0003 0.9837 0.8154
O 0.0728 0.4130 0.3101
O 0.9606 0.7712 0.4251
O 0.6148 0.8636 0.7873
O 0.6456 0.5103 0.8771
O 0.3983 0.5645 0.6960
O 0.9272 0.5870 0.6899
O 0.4109 0.1694 0.4464
O 0.0394 0.2288 0.5749
Er 0.8841 0.9115 0.6428
Er 0.6299 0.7801 0.3681
Er 0.1159 0.0885 0.3572
Er 0.0516 0.3286 0.1145
Er 0.3259 0.8275 0.1096
Er 0.3701 0.2199 0.6319
Er 0.6741 0.1725 0.8904
Er 0.9484 0.6714 0.8855

Results
Symmetry: P-1 (2)
Excess energy over the best structure of this formula in the dataset (meV per atom): 29.1
M_tot (μB per cell): 0.00

---

DFT (PBE) results for a relaxed structure of ErSiO3.

Cell: 5.1795 5.1795 5.1795 Å, 119.76 90.71 119.42°
Positions (direct):
Er 0.7509 0.5009 0.2500
Er 0.2491 0.4991 0.7500
O 0.7716 0.5000 0.7716
O 0.2284 0.5000 0.2284
O 0.2917 0.0417 0.2500
O 0.7716 0.0000 0.2716
O 0.2284 0.0000 0.7284
O 0.7083 0.9583 0.7500
Si 0.0000 0.0000 0.0000
Si 0.5000 0.0000 0.5000

Results
Symmetry: Imma (74)
Total DFT energy (no corrections) (eV per atom): -7.33
M_tot (μB per cell): 0.00

---

DFT (PBE) results for a relaxed structure of Er2Si2O5.

Cell: 6.3429 3.8667 3.8667 Å, 90.00 90.00 90.00°
Positions (direct):
O 0.2398 0.0000 0.5000
O 0.7602 0.5000 0.0000
O 0.5000 0.5000 0.5000
O 0.7602 0.0000 0.5000
O 0.2398 0.5000 0.0000
Si 0.7808 0.5000 0.5000
Si 0.2192 0.5000 0.5000
Er 0.0000 0.0000 0.0000
Er 0.5000 0.0000 0.0000

Results
Symmetry: P4/mmm (123)
Excess energy over the best structure of this formula in the dataset (meV per atom): 0.0
M_tot (μB per cell): 0.04